The following is a PBE calculation of an optimized crystal structure of Sn2OsRhI, from Alexandria via LeMat-Bulk.

The structure in POSCAR format:
```
Sn2OsRhI
1.0
-0.7566 -4.8249 -1.3899
5.2252 -0.9289 0.3803
-0.5875 -1.3108 4.8703
I Rh Os Sn
1 1 1 2
direct
0.0000 0.5000 0.0000
0.0000 0.0000 0.0000
0.5000 0.5000 0.5000
0.0000 0.0000 0.5000
0.5000 0.0000 0.0000
```

Output
Energy (eV/atom): -4.41
Formation energy without anion corrections (eV per atom): 1.214

=====

The following is a PBE calculation of an optimized crystal structure of TeOsRhI2, from Alexandria via LeMat-Bulk.

The structure in POSCAR format:
```
TeOsRhI2
1.0
-2.8134 4.4401 1.8365
-2.9011 0.1267 -4.7508
-3.4007 -2.9808 1.9971
I Rh Te Os
2 1 1 1
direct
0.0000 0.5000 0.0000
0.5000 0.0000 0.0000
0.5000 0.5000 0.5000
0.0000 0.0000 0.5000
0.0000 0.0000 0.0000
```

Output
Energy (eV/atom): -3.72
Formation energy without anion corrections (eV per atom): 1.245

=====

The following is a PBE calculation of an optimized crystal structure of TiOs2RhI, from Alexandria via LeMat-Bulk.

The structure in POSCAR format:
```
TiOs2RhI
1.0
4.5468 0.0000 0.0000
0.0000 5.1079 0.0000
0.0000 0.0000 4.5468
I Rh Os Ti
1 1 2 1
direct
0.0000 0.5000 0.0000
0.5000 0.5000 0.5000
0.0000 0.0000 0.5000
0.5000 0.0000 0.0000
0.0000 0.0000 0.0000
```

Output
Energy (eV/atom): -5.98
Formation energy without anion corrections (eV per atom): 1.867

=====

The following is a PBE calculation of an optimized crystal structure of V2OsRhI, from Alexandria via LeMat-Bulk.

The structure in POSCAR format:
```
V2OsRhI
1.0
-2.7577 0.6114 3.4860
0.0396 -4.4137 0.8054
3.9890 0.5927 3.0517
I Rh Os V
1 1 1 2
direct
0.0000 0.0000 0.5000
0.0000 0.0000 0.0000
0.5000 0.5000 0.5000
0.0000 0.5000 0.0000
0.5000 0.0000 0.0000
```

Output
Energy (eV/atom): -5.86
Formation energy without anion corrections (eV per atom): 1.818

=====

The following is a PBE calculation of an optimized crystal structure of OsRu3I, from Alexandria via LeMat-Bulk.

The structure in POSCAR format:
```
OsRu3I
1.0
-4.5908 -0.6087 -1.0811
-0.4701 -2.9814 3.6750
-1.1481 3.6546 2.8180
I Ru Os
1 3 1
direct
0.5000 0.5000 0.5000
0.0000 0.5000 0.0000
0.0000 0.0000 0.5000
0.5000 0.0000 0.0000
0.0000 0.0000 0.0000
```

Output
Energy (eV/atom): -6.38
Formation energy without anion corrections (eV per atom): 1.740

=====

The following is a PBE calculation of an optimized crystal structure of Os3RuI, from Alexandria via LeMat-Bulk.

The structure in POSCAR format:
```
Os3RuI
1.0
-3.4253 2.9927 1.2904
-2.9245 -3.6487 0.6993
1.4385 -0.2916 4.4945
I Ru Os
1 1 3
direct
0.5000 0.5000 0.5000
0.0000 0.0000 0.0000
0.0000 0.5000 0.0000
0.0000 0.0000 0.5000
0.5000 0.0000 0.0000
```

Output
Energy (eV/atom): -6.45
Formation energy without anion corrections (eV per atom): 2.450